# 1
Computed, not measured: a geometry-optimized In2Tc2Ni structure at the PBE-GGA level of DFT.

Cell: 6.402 6.402 4.350 Å, 90.00 90.00 90.00°
Space group P4/mbm (No. 127)
Asymmetric unit:
1 In 0.178 0.322 0.000 (multiplicity 4)
2 Tc 0.129 0.629 0.500 (multiplicity 4)
3 Ni 0.000 0.000 0.500 (multiplicity 2)

Summary:
formation enthalpy at 0 K = 0.33 eV per atom
V = 178.3 Å³/cell
energy = -6.07 eV per atom


# 2
Computed, not measured: a geometry-optimized BiPd3Au3 structure at the PBE-GGA level of DFT.

Cell: 8.076 8.076 8.076 Å, 90.00 90.00 90.00°
Space group P2_13 (No. 198)
Asymmetric unit:
1 Bi 0.061 0.439 0.561 (multiplicity 4)
2 Pd 0.067 0.249 0.862 (multiplicity 12)
3 Au 0.092 0.592 0.908 (multiplicity 4)
4 Au 0.116 0.884 0.384 (multiplicity 4)
5 Au 0.199 0.199 0.199 (multiplicity 4)

Summary:
formation enthalpy at 0 K = -0.08 eV per atom
V = 526.8 Å³/cell
energy = -4.26 eV per atom


# 3
Computed, not measured: a geometry-optimized Sr3Li5Cl12 structure at the PBE-GGA level of DFT.

Cell: 15.757 15.757 15.757 Å, 90.00 90.00 90.00°
Space group Ia-3d (No. 230)
Asymmetric unit:
1 Sr 0.000 0.250 0.125 (multiplicity 24)
2 Li 0.000 0.000 0.000 (multiplicity 16)
3 Li 0.000 0.250 0.375 (multiplicity 24)
4 Cl 0.029 0.060 0.652 (multiplicity 96)

Summary:
formation energy without anion corrections = -1.96 eV/atom
V = 3911.8 Å³/cell
energy = -3.80 eV per atom


# 4
Computed, not measured: a geometry-optimized TaPOs2 structure at the PBE-GGA level of DFT.

Cell: 9.770 2.974 4.604 Å, 90.00 117.81 90.00°
Space group Cm (No. 8)
Asymmetric unit:
1 Ta 0.000 0.000 0.000 (multiplicity 2)
2 P 0.229 0.500 0.118 (multiplicity 2)
3 Os 0.211 0.000 0.704 (multiplicity 2)
4 Os 0.434 0.000 0.439 (multiplicity 2)

Summary:
formation enthalpy at 0 K = -0.20 eV per atom
V = 118.3 Å³/cell
energy = -10.13 eV per atom


# 5
Computed, not measured: a geometry-optimized BeIrAu2 structure at the PBE-GGA level of DFT.

Cell: 4.495 4.495 3.032 Å, 90.00 90.00 90.00°
Space group P4/mmm (No. 123)
Asymmetric unit:
1 Be 0.000 0.000 0.000 (multiplicity 1)
2 Ir 0.500 0.500 0.000 (multiplicity 1)
3 Au 0.000 0.500 0.500 (multiplicity 2)

Summary:
formation enthalpy at 0 K = 0.27 eV per atom
V = 61.3 Å³/cell
energy = -4.51 eV per atom


# 6
Computed, not measured: a geometry-optimized CaPaOs structure at the PBE-GGA level of DFT.

Cell: 3.929 6.052 12.916 Å, 90.00 90.00 90.00°
Space group Immm (No. 71)
Asymmetric unit:
1 Ca 0.000 0.240 0.000 (multiplicity 4)
2 Pa 0.000 0.000 0.284 (multiplicity 4)
3 Os 0.000 0.500 0.345 (multiplicity 4)

Summary:
formation enthalpy at 0 K = -0.01 eV per atom
V = 307.1 Å³/cell
energy = -7.59 eV per atom


# 7
Computed, not measured: a geometry-optimized TmPaZnGa structure at the PBE-GGA level of DFT.

Cell: 7.058 7.058 7.058 Å, 90.00 90.00 90.00°
Space group F-43m (No. 216)
Asymmetric unit:
1 Tm 0.000 0.000 0.000 (multiplicity 4)
2 Pa 0.000 0.000 0.500 (multiplicity 4)
3 Zn 0.250 0.250 0.250 (multiplicity 4)
4 Ga 0.250 0.250 0.750 (multiplicity 4)

Summary:
formation enthalpy at 0 K = -0.20 eV per atom
V = 351.6 Å³/cell
energy = -4.77 eV per atom


# 8
Computed, not measured: a geometry-optimized SiAs2Br structure at the PBE-GGA level of DFT.

Cell: 4.100 4.406 5.530 Å, 90.00 110.10 90.00°
Space group Pm (No. 6)
Asymmetric unit:
1 Si 0.000 0.000 0.000 (multiplicity 1)
2 As 0.594 0.000 0.320 (multiplicity 1)
3 As 0.761 0.500 0.113 (multiplicity 1)
4 Br 0.276 0.500 0.664 (multiplicity 1)

Summary:
formation energy without anion corrections = 0.25 eV/atom
V = 93.8 Å³/cell
energy = -3.85 eV per atom


# 9
Computed, not measured: a geometry-optimized PuTi4Pt5 structure at the PBE-GGA level of DFT.

Cell: 2.825 3.709 15.995 Å, 90.00 90.00 90.00°
Space group Pmmm (No. 47)
Asymmetric unit:
1 Pu 0.000 0.000 0.000 (multiplicity 1)
2 Ti 0.000 0.000 0.218 (multiplicity 2)
3 Ti 0.000 0.000 0.407 (multiplicity 2)
4 Pt 0.500 0.500 0.131 (multiplicity 2)
5 Pt 0.500 0.500 0.316 (multiplicity 2)
6 Pt 0.500 0.500 0.500 (multiplicity 1)

Summary:
formation enthalpy at 0 K = -0.86 eV per atom
V = 167.6 Å³/cell
energy = -8.47 eV per atom


# 10
Computed, not measured: a geometry-optimized TbErI structure at the PBE-GGA level of DFT.

Cell: 3.674 3.674 13.816 Å, 90.00 90.00 90.00°
Space group I4mm (No. 107)
Asymmetric unit:
1 Tb 0.000 0.000 0.000 (multiplicity 2)
2 Er 0.000 0.000 0.333 (multiplicity 2)
3 I 0.000 0.000 0.667 (multiplicity 2)

Summary:
formation energy without anion corrections = -0.40 eV/atom
V = 186.5 Å³/cell
energy = -3.98 eV per atom


# 11
Computed, not measured: a geometry-optimized Ce5Ga2Pd structure at the PBE-GGA level of DFT.

Cell: 5.0696 5.0696 24.7922 Å, 90.00 90.00 120.00°
Space group R-3m (No. 166, hexagonal axes)
Asymmetric unit:
1 Ce 0.0000 0.0000 0.0000 (multiplicity 3)
2 Ce 0.0000 0.0000 0.1234 (multiplicity 6)
3 Ce 0.0000 0.0000 0.2563 (multiplicity 6)
4 Ga 0.0000 0.0000 0.3895 (multiplicity 6)
5 Pd 0.0000 0.0000 0.5000 (multiplicity 3)

Summary:
formation enthalpy at 0 K = -0.38 eV per atom
V = 551.8 Å³/cell
energy = -5.49 eV per atom


# 12
Computed, not measured: a geometry-optimized SmNi4B structure at the PBE-GGA level of DFT.

Cell: 5.0299 5.0299 6.9824 Å, 90.00 90.00 120.00°
Space group P6/mmm (No. 191)
Asymmetric unit:
1 Sm 0.0000 0.0000 0.0000 (multiplicity 1)
2 Sm 0.0000 0.0000 0.5000 (multiplicity 1)
3 Ni 0.0000 0.5000 0.2067 (multiplicity 6)
4 Ni 0.3333 0.6667 0.5000 (multiplicity 2)
5 B 0.3333 0.6667 0.0000 (multiplicity 2)

Summary:
formation enthalpy at 0 K = -0.45 eV per atom
V = 153.0 Å³/cell
energy = -6.20 eV per atom